Model a:
An optimized crystal structure of AcLaSc2, computed with GGA-PBE.

## Properties
As for the density of states at the Fermi level: 6.045 states/eV/cell. The spin magnetization comes out at 0.000 Bohr magnetons per cell.

CIF file:
```
data_AcLaSc2
_cell_length_a 4.0367
_cell_length_b 4.0367
_cell_length_c 7.9055
_cell_angle_alpha 90.00
_cell_angle_beta 90.00
_cell_angle_gamma 90.00
_symmetry_space_group_name_H-M 'P 4/m m m'
_symmetry_Int_Tables_number 123
_symmetry_space_group_name_Hall '-P 4 2'
loop_
_atom_site_label
_atom_site_type_symbol
_atom_site_fract_x
_atom_site_fract_y
_atom_site_fract_z
Ac1 Ac 0.0000 0.0000 0.0000
La1 La 0.0000 0.0000 0.5000
Sc1 Sc 0.5000 0.5000 0.2615
```

---

Model b:
An optimized crystal structure of AcLaSc2, computed with GGA-PBE.

## Properties
As for the density of states at the Fermi level: 19.905 states/eV/cell. The spin magnetization comes out at 0.000 Bohr magnetons per cell.

CIF file:
```
data_AcLaSc2
_cell_length_a 3.6069
_cell_length_b 3.6069
_cell_length_c 33.9758
_cell_angle_alpha 90.00
_cell_angle_beta 90.00
_cell_angle_gamma 120.00
_symmetry_space_group_name_H-M 'R 3 m'
_symmetry_Int_Tables_number 160
_symmetry_space_group_name_Hall 'R 3 -2"'
loop_
_atom_site_label
_atom_site_type_symbol
_atom_site_fract_x
_atom_site_fract_y
_atom_site_fract_z
Ac1 Ac 0.0000 0.0000 0.0000
La1 La 0.0000 0.0000 0.8334
Sc1 Sc 0.0000 0.0000 0.2476
Sc2 Sc 0.0000 0.0000 0.4195
```

---

Computed stability ranking, most favorable first: model a, model b

---

Model a:
An optimized crystal structure of Ac2LaSc, computed with GGA-PBE.

## Properties
As for the density of states at the Fermi level: 36.044 states/eV/cell. The spin magnetization comes out at 0.006 Bohr magnetons per cell.

CIF file:
```
data_Ac2LaSc
_cell_length_a 8.4319
_cell_length_b 8.4319
_cell_length_c 8.4319
_cell_angle_alpha 90.00
_cell_angle_beta 90.00
_cell_angle_gamma 90.00
_symmetry_space_group_name_H-M 'F m -3 m'
_symmetry_Int_Tables_number 225
_symmetry_space_group_name_Hall '-F 4 2 3'
loop_
_atom_site_label
_atom_site_type_symbol
_atom_site_fract_x
_atom_site_fract_y
_atom_site_fract_z
Ac1 Ac 0.2500 0.2500 0.2500
La1 La 0.0000 0.0000 0.0000
Sc1 Sc 0.0000 0.0000 0.5000
```

---

Model b:
An optimized crystal structure of Ac2LaSc, computed with GGA-PBE.

## Properties
As for the density of states at the Fermi level: 18.670 states/eV/cell. The spin magnetization comes out at 0.000 Bohr magnetons per cell.

CIF file:
```
data_Ac2LaSc
_cell_length_a 3.7921
_cell_length_b 3.7921
_cell_length_c 35.9667
_cell_angle_alpha 90.00
_cell_angle_beta 90.00
_cell_angle_gamma 120.00
_symmetry_space_group_name_H-M 'R 3 m'
_symmetry_Int_Tables_number 160
_symmetry_space_group_name_Hall 'R 3 -2"'
loop_
_atom_site_label
_atom_site_type_symbol
_atom_site_fract_x
_atom_site_fract_y
_atom_site_fract_z
Ac1 Ac 0.0000 0.0000 0.0000
Ac2 Ac 0.0000 0.0000 0.1773
La1 La 0.0000 0.0000 0.7572
Sc1 Sc 0.0000 0.0000 0.5884
```

---

Computed stability ranking, most favorable first: model b, model a

---

Model a:
An optimized crystal structure of Ac2LaSc, computed with GGA-PBE.

## Properties
As for the density of states at the Fermi level: 4.836 states/eV/cell. The spin magnetization comes out at 0.000 Bohr magnetons per cell.

CIF file:
```
data_Ac2LaSc
_cell_length_a 5.3497
_cell_length_b 5.3497
_cell_length_c 5.1785
_cell_angle_alpha 90.00
_cell_angle_beta 90.00
_cell_angle_gamma 90.00
_symmetry_space_group_name_H-M 'P 4/m m m'
_symmetry_Int_Tables_number 123
_symmetry_space_group_name_Hall '-P 4 2'
loop_
_atom_site_label
_atom_site_type_symbol
_atom_site_fract_x
_atom_site_fract_y
_atom_site_fract_z
Ac1 Ac 0.0000 0.5000 0.0000
La1 La 0.0000 0.0000 0.5000
Sc1 Sc 0.5000 0.5000 0.5000
```

---

Model b:
An optimized crystal structure of Ac2LaSc, computed with GGA-PBE.

## Properties
As for the density of states at the Fermi level: 6.158 states/eV/cell. The spin magnetization comes out at 0.002 Bohr magnetons per cell.

CIF file:
```
data_Ac2LaSc
_cell_length_a 3.8973
_cell_length_b 3.8973
_cell_length_c 9.8095
_cell_angle_alpha 90.00
_cell_angle_beta 90.00
_cell_angle_gamma 90.00
_symmetry_space_group_name_H-M 'P 4/m m m'
_symmetry_Int_Tables_number 123
_symmetry_space_group_name_Hall '-P 4 2'
loop_
_atom_site_label
_atom_site_type_symbol
_atom_site_fract_x
_atom_site_fract_y
_atom_site_fract_z
Ac1 Ac 0.0000 0.0000 0.2284
La1 La 0.5000 0.5000 0.5000
Sc1 Sc 0.5000 0.5000 0.0000
```

---

Computed stability ranking, most favorable first: model b, model a